(i)
The following is a PBE-GGA calculation of Zn3InBr after structural relaxation, from Alexandria via LeMat-Bulk.

## Properties
V (Å³ per atom): 30.15
Mass density (g cm⁻³): 4.307
D(E_F) (states/eV/f.u.): 1.9
Crystal system: cubic

abc: 5.3220 5.3220 5.3220
angles: 90.00 90.00 90.00
Space group Pm-3m (No. 221)
One atom of each set of equivalent atoms:
Zn (0.0000, 0.0000, 0.5000) (multiplicity 3)
In (0.5000, 0.5000, 0.5000) (multiplicity 1)
Br (0.0000, 0.0000, 0.0000) (multiplicity 1)

(ii)
The following is a PBE-GGA calculation of Zn3InBr after structural relaxation, from Alexandria via LeMat-Bulk.

## Properties
V (Å³ per atom): 27.97
Mass density (g cm⁻³): 4.642
D(E_F) (states/eV/f.u.): 0.7
Crystal system: cubic

abc: 5.1908 5.1908 5.1908
angles: 90.00 90.00 90.00
Space group Pm-3m (No. 221)
One atom of each set of equivalent atoms:
Zn (0.0000, 0.0000, 0.5000) (multiplicity 3)
In (0.0000, 0.0000, 0.0000) (multiplicity 1)
Br (0.5000, 0.5000, 0.5000) (multiplicity 1)

Most favorable structure: (ii). The second most favorable one is 425 meV/atom above it.

(i)
The following is a PBE-GGA calculation of ZrIn2Br after structural relaxation, from Alexandria via LeMat-Bulk.

## Properties
V (Å³ per atom): 23.65
Mass density (g cm⁻³): 7.034
D(E_F) (states/eV/f.u.): 3.4
Crystal system: tetragonal

abc: 4.2627 4.2627 10.4134
angles: 90.00 90.00 90.00
Space group I4/mmm (No. 139)
One atom of each set of equivalent atoms:
Zr (0.0000, 0.0000, 0.0000) (multiplicity 2)
In (0.0000, 0.5000, 0.2500) (multiplicity 4)
Br (0.0000, 0.0000, 0.5000) (multiplicity 2)

(ii)
The following is a PBE-GGA calculation of ZrIn2Br after structural relaxation, from Alexandria via LeMat-Bulk.

## Properties
V (Å³ per atom): 26.80
Mass density (g cm⁻³): 6.208
D(E_F) (states/eV/f.u.): 2.7
Crystal system: tetragonal

abc: 3.2750 3.2750 9.9944
angles: 90.00 90.00 90.00
Space group P4mm (No. 99)
One atom of each set of equivalent atoms:
Zr (0.0000, 0.0000, 0.0000) (multiplicity 1)
In (0.0000, 0.0000, 0.5393) (multiplicity 1)
In (0.5000, 0.5000, 0.7863) (multiplicity 1)
Br (0.5000, 0.5000, 0.1740) (multiplicity 1)

(iii)
The following is a PBE-GGA calculation of ZrIn2Br after structural relaxation, from Alexandria via LeMat-Bulk.

## Properties
V (Å³ per atom): 24.82
Mass density (g cm⁻³): 6.703
D(E_F) (states/eV/f.u.): 1.0
Crystal system: trigonal

abc: 3.4754 3.4754 28.4734
angles: 90.00 90.00 120.00
Space group R-3m (No. 166, hexagonal axes)
One atom of each set of equivalent atoms:
Zr (0.0000, 0.0000, 0.0000) (multiplicity 3)
In (0.0000, 0.0000, 0.2512) (multiplicity 6)
Br (0.0000, 0.0000, 0.5000) (multiplicity 3)

Most favorable structure: (ii). The second most favorable one is 199 meV/atom above it.

(i)
The following is a PBE-GGA calculation of ZrIn2Br after structural relaxation, from Alexandria via LeMat-Bulk.

## Properties
V (Å³ per atom): 24.24
Mass density (g cm⁻³): 6.863
D(E_F) (states/eV/f.u.): 2.8
Crystal system: orthorhombic

abc: 3.2997 5.1701 5.6844
angles: 90.00 90.00 90.00
Space group Pmmm (No. 47)
One atom of each set of equivalent atoms:
Zr (0.0000, 0.0000, 0.0000) (multiplicity 1)
In (0.0000, 0.5000, 0.5000) (multiplicity 1)
In (0.5000, 0.0000, 0.5000) (multiplicity 1)
Br (0.5000, 0.5000, 0.0000) (multiplicity 1)

(ii)
The following is a PBE-GGA calculation of ZrIn2Br after structural relaxation, from Alexandria via LeMat-Bulk.

## Properties
V (Å³ per atom): 27.35
Mass density (g cm⁻³): 6.083
D(E_F) (states/eV/f.u.): 3.9
Crystal system: trigonal

abc: 3.3952 3.3952 32.8750
angles: 90.00 90.00 120.00
Space group R3m (No. 160, hexagonal axes)
One atom of each set of equivalent atoms:
Zr (0.0000, 0.0000, 0.0000) (multiplicity 3)
In (0.0000, 0.0000, 0.2594) (multiplicity 3)
In (0.0000, 0.0000, 0.5111) (multiplicity 3)
Br (0.0000, 0.0000, 0.7249) (multiplicity 3)

Most favorable structure: (ii). The second most favorable one is 365 meV/atom above it.

(i)
The following is a PBE-GGA calculation of ZrIn2Br after structural relaxation, from Alexandria via LeMat-Bulk.

## Properties
V (Å³ per atom): 24.88
Mass density (g cm⁻³): 6.686
D(E_F) (states/eV/f.u.): 2.6
Crystal system: tetragonal

abc: 3.3964 3.3964 8.6288
angles: 90.00 90.00 90.00
Space group P4/mmm (No. 123)
One atom of each set of equivalent atoms:
Zr (0.0000, 0.0000, 0.0000) (multiplicity 1)
In (0.5000, 0.5000, 0.2287) (multiplicity 2)
Br (0.0000, 0.0000, 0.5000) (multiplicity 1)

(ii)
The following is a PBE-GGA calculation of ZrIn2Br after structural relaxation, from Alexandria via LeMat-Bulk.

## Properties
V (Å³ per atom): 26.38
Mass density (g cm⁻³): 6.306
D(E_F) (states/eV/f.u.): 2.7
Crystal system: orthorhombic

abc: 3.1795 4.7151 14.0795
angles: 90.00 90.00 90.00
Space group Immm (No. 71)
One atom of each set of equivalent atoms:
Zr (0.0000, 0.0000, 0.0000) (multiplicity 2)
In (0.0000, 0.5000, 0.3035) (multiplicity 4)
Br (0.0000, 0.0000, 0.5000) (multiplicity 2)

(iii)
The following is a PBE-GGA calculation of ZrIn2Br after structural relaxation, from Alexandria via LeMat-Bulk.

## Properties
V (Å³ per atom): 24.71
Mass density (g cm⁻³): 6.733
D(E_F) (states/eV/f.u.): 3.4
Crystal system: monoclinic

abc: 3.3726 5.2635 5.5686
angles: 90.00 91.08 90.00
Space group P2/m (No. 10)
One atom of each set of equivalent atoms:
Zr (0.0000, 0.0000, 0.0000) (multiplicity 1)
In (0.4583, 0.5000, 0.2452) (multiplicity 2)
Br (0.0000, 0.0000, 0.5000) (multiplicity 1)

(iv)
The following is a PBE-GGA calculation of ZrIn2Br after structural relaxation, from Alexandria via LeMat-Bulk.

## Properties
V (Å³ per atom): 27.41
Mass density (g cm⁻³): 6.070
D(E_F) (states/eV/f.u.): 1.2
Crystal system: orthorhombic

abc: 3.4758 5.7208 11.0274
angles: 90.00 90.00 90.00
Space group Cmm2 (No. 35)
One atom of each set of equivalent atoms:
Zr (0.0000, 0.0000, 0.0000) (multiplicity 2)
In (0.0000, 0.0000, 0.5285) (multiplicity 2)
In (0.0000, 0.5000, 0.7753) (multiplicity 2)
Br (0.0000, 0.5000, 0.1902) (multiplicity 2)

Most favorable structure: (iv). The second most favorable one is 142 meV/atom above it.

(i)
The following is a PBE-GGA calculation of ZrIn2Br after structural relaxation, from Alexandria via LeMat-Bulk.

## Properties
V (Å³ per atom): 25.18
Mass density (g cm⁻³): 6.607
D(E_F) (states/eV/f.u.): 2.6
Crystal system: monoclinic

abc: 11.6818 3.2537 5.5558
angles: 90.00 107.45 90.00
Space group Cm (No. 8)
One atom of each set of equivalent atoms:
Zr (0.0000, 0.0000, 0.0000) (multiplicity 2)
In (0.2544, 0.0000, 0.8727) (multiplicity 2)
In (0.4587, 0.0000, 0.5017) (multiplicity 2)
Br (0.1746, 0.5000, 0.3043) (multiplicity 2)

(ii)
The following is a PBE-GGA calculation of ZrIn2Br after structural relaxation, from Alexandria via LeMat-Bulk.

## Properties
V (Å³ per atom): 24.73
Mass density (g cm⁻³): 6.727
D(E_F) (states/eV/f.u.): 3.1
Crystal system: tetragonal

abc: 4.3853 4.3853 10.2892
angles: 90.00 90.00 90.00
Space group I-4m2 (No. 119)
One atom of each set of equivalent atoms:
Zr (0.0000, 0.0000, 0.0000) (multiplicity 2)
In (0.0000, 0.0000, 0.5000) (multiplicity 2)
In (0.0000, 0.5000, 0.2500) (multiplicity 2)
Br (0.0000, 0.5000, 0.7500) (multiplicity 2)

Most favorable structure: (i). The second most favorable one is 320 meV/atom above it.

(i)
The following is a PBE-GGA calculation of ZrIn2Br after structural relaxation, from Alexandria via LeMat-Bulk.

## Properties
V (Å³ per atom): 24.33
Mass density (g cm⁻³): 6.838
D(E_F) (states/eV/f.u.): 5.1
Crystal system: cubic

abc: 7.3016 7.3016 7.3016
angles: 90.00 90.00 90.00
Space group F-43m (No. 216)
One atom of each set of equivalent atoms:
Zr (0.0000, 0.0000, 0.0000) (multiplicity 4)
In (0.0000, 0.0000, 0.5000) (multiplicity 4)
In (0.2500, 0.2500, 0.7500) (multiplicity 4)
Br (0.2500, 0.2500, 0.2500) (multiplicity 4)

(ii)
The following is a PBE-GGA calculation of ZrIn2Br after structural relaxation, from Alexandria via LeMat-Bulk.

## Properties
V (Å³ per atom): 24.47
Mass density (g cm⁻³): 6.799
D(E_F) (states/eV/f.u.): 1.4
Crystal system: monoclinic

abc: 3.4580 4.9372 5.9863
angles: 90.00 106.72 90.00
Space group Pm (No. 6)
One atom of each set of equivalent atoms:
Zr (0.0000, 0.0000, 0.0000) (multiplicity 1)
In (0.3987, 0.5000, 0.7967) (multiplicity 1)
In (0.7354, 0.0000, 0.4734) (multiplicity 1)
Br (0.1297, 0.5000, 0.2624) (multiplicity 1)

Most favorable structure: (ii). The second most favorable one is 367 meV/atom above it.